First-principles (PBE) data for an optimized crystal structure of Th2Al5Co3, as listed in the Alexandria database. Values from VASP.

Structure (Quantum ESPRESSO input):
```
&SYSTEM
  ibrav = 0, nat = 20, ntyp = 3
/
ATOMIC_SPECIES
Th 232.04 Th.upf
Al 26.98 Al.upf
Co 58.93 Co.upf
ATOMIC_POSITIONS crystal
Th 0.4708 0.7934 0.9417
Th 0.1753 0.6990 0.3506
Th 0.8247 0.1990 0.6494
Th 0.5292 0.2934 0.0583
Al 0.4030 0.4016 0.8060
Al 0.2882 0.5022 0.5764
Al 0.7118 0.0022 0.4236
Al 0.1340 0.2241 0.2681
Al 0.2932 0.8829 0.5864
Al 0.9451 0.1362 0.8902
Al 0.7068 0.3829 0.4136
Al 0.8660 0.7241 0.7319
Al 0.0549 0.6362 0.1098
Al 0.5970 0.9016 0.1940
Co 0.7666 0.6912 0.5331
Co 0.6086 0.5262 0.2171
Co 0.0465 0.0081 0.0931
Co 0.2334 0.1912 0.4669
Co 0.9535 0.5081 0.9069
Co 0.3914 0.0262 0.7829
CELL_PARAMETERS angstrom
0.1346 -4.0657 -0.5510
1.2489 -0.8612 6.6599
-12.2544 1.3318 2.4703
```

Results
Its mass density is 7.41 Mg/m³. The value obtained for the formation energy is -0.46 eV/atom. For the total energy, the calculation gives -5.94 eV/atom.

=====

First-principles (PBE) data for an optimized crystal structure of ThAl3Co2, as listed in the Alexandria database. Values from VASP.

Structure (Quantum ESPRESSO input):
```
&SYSTEM
  ibrav = 0, nat = 12, ntyp = 3
/
ATOMIC_SPECIES
Th 232.04 Th.upf
Al 26.98 Al.upf
Co 58.93 Co.upf
ATOMIC_POSITIONS crystal
Th 0.2500 0.3569 0.3569
Th 0.7500 0.6431 0.6431
Al 0.7500 0.4655 0.0868
Al 0.7500 0.0868 0.4655
Al 0.2500 0.5345 0.9132
Al 0.7500 0.0408 0.0408
Al 0.2500 0.9592 0.9592
Al 0.2500 0.9132 0.5345
Co 0.5000 0.7863 0.2137
Co 0.0000 0.7863 0.2137
Co 0.0000 0.2137 0.7863
Co 0.5000 0.2137 0.7863
CELL_PARAMETERS angstrom
-4.3443 1.5094 2.5711
-0.5573 -5.6757 2.3903
3.4968 2.7720 4.2810
```

Results
Its mass density is 7.24 Mg/m³. The value obtained for the formation energy is -0.49 eV/atom. For the total energy, the calculation gives -5.97 eV/atom.

=====

First-principles (PBE) data for an optimized crystal structure of Th3Al7Co4, as listed in the Alexandria database. Values from VASP.

Structure (Quantum ESPRESSO input):
```
&SYSTEM
  ibrav = 0, nat = 14, ntyp = 3
/
ATOMIC_SPECIES
Th 232.04 Th.upf
Al 26.98 Al.upf
Co 58.93 Co.upf
ATOMIC_POSITIONS crystal
Th 0.3056 0.1823 0.2065
Th 0.6944 0.8177 0.7935
Th 0.0000 0.5000 0.5000
Al 0.3229 0.8380 0.5162
Al 0.4894 0.2301 0.7911
Al 0.8412 0.3933 0.9244
Al 0.6771 0.1620 0.4838
Al 0.1588 0.6067 0.0756
Al 0.0000 0.0000 0.0000
Al 0.5106 0.7699 0.2089
Co 0.6662 0.4471 0.2205
Co 0.3338 0.5529 0.7795
Co 0.8907 0.8813 0.3373
Co 0.1093 0.1187 0.6627
CELL_PARAMETERS angstrom
3.9984 0.0000 1.0087
1.4566 7.2943 2.6552
-0.0136 0.0334 8.4831
```

Results
Its mass density is 7.53 Mg/m³. The value obtained for the formation energy is -0.48 eV/atom. For the total energy, the calculation gives -5.97 eV/atom.

=====

First-principles (PBE) data for an optimized crystal structure of Th2Al5Co4, as listed in the Alexandria database. Values from VASP.

Structure (Quantum ESPRESSO input):
```
&SYSTEM
  ibrav = 0, nat = 11, ntyp = 3
/
ATOMIC_SPECIES
Th 232.04 Th.upf
Al 26.98 Al.upf
Co 58.93 Co.upf
ATOMIC_POSITIONS crystal
Th 0.8607 0.0000 0.2786
Th 0.1393 0.0000 0.7214
Al 0.5000 0.0000 0.0000
Al 0.0000 0.5000 0.0000
Al 0.5000 0.5000 0.0000
Al 0.2500 0.5000 0.5000
Al 0.7500 0.5000 0.5000
Co 0.4757 0.3069 0.7417
Co 0.5243 0.6931 0.2583
Co 0.2174 0.3069 0.2583
Co 0.7826 0.6931 0.7417
CELL_PARAMETERS angstrom
5.1909 0.0000 0.0000
2.5954 4.6925 0.0000
2.5954 0.0000 7.6460
```

Results
Its mass density is 7.44 Mg/m³. The value obtained for the formation energy is -0.43 eV/atom. For the total energy, the calculation gives -6.07 eV/atom.

=====

First-principles (PBE) data for an optimized crystal structure of Th3Al2Co4, as listed in the Alexandria database. Values from VASP.

Structure (Quantum ESPRESSO input):
```
&SYSTEM
  ibrav = 0, nat = 9, ntyp = 3
/
ATOMIC_SPECIES
Th 232.04 Th.upf
Al 26.98 Al.upf
Co 58.93 Co.upf
ATOMIC_POSITIONS crystal
Th 0.3759 0.7517 0.6221
Th 0.0000 0.0000 0.0000
Th 0.6241 0.2483 0.3779
Al 0.3195 0.6390 0.2088
Al 0.6805 0.3610 0.7912
Co 0.7246 0.4493 0.0901
Co 0.0918 0.1837 0.6389
Co 0.9082 0.8163 0.3611
Co 0.2754 0.5507 0.9099
CELL_PARAMETERS angstrom
4.1630 0.0000 0.0000
-2.0815 4.7899 -0.9741
0.0000 0.7668 8.2699
```

Results
Its mass density is 9.74 Mg/m³. The value obtained for the formation energy is -0.42 eV/atom. For the total energy, the calculation gives -6.89 eV/atom.

=====

First-principles (PBE) data for an optimized crystal structure of ThAl8Co2, as listed in the Alexandria database. Values from VASP.

Structure (Quantum ESPRESSO input):
```
&SYSTEM
  ibrav = 0, nat = 11, ntyp = 3
/
ATOMIC_SPECIES
Th 232.04 Th.upf
Al 26.98 Al.upf
Co 58.93 Co.upf
ATOMIC_POSITIONS crystal
Th 0.5000 0.5000 0.5000
Al 0.7515 0.7515 0.1773
Al 0.7515 0.2485 0.8227
Al 0.7515 0.7515 0.8227
Al 0.7515 0.2485 0.1773
Al 0.2485 0.7515 0.1773
Al 0.2485 0.7515 0.8227
Al 0.2485 0.2485 0.1773
Al 0.2485 0.2485 0.8227
Co 0.5000 0.0000 0.0000
Co 0.0000 0.5000 0.0000
CELL_PARAMETERS angstrom
-0.3553 4.0658 -3.8523
-4.0126 -2.8778 -2.6672
-5.3773 3.5579 4.2509
```

Results
Its mass density is 3.86 Mg/m³. The value obtained for the formation energy is 0.12 eV/atom. For the total energy, the calculation gives -4.57 eV/atom.

=====

First-principles (PBE) data for an optimized crystal structure of ThAl12Co4, as listed in the Alexandria database. Values from VASP.

Structure (Quantum ESPRESSO input):
```
&SYSTEM
  ibrav = 0, nat = 17, ntyp = 3
/
ATOMIC_SPECIES
Th 232.04 Th.upf
Al 26.98 Al.upf
Co 58.93 Co.upf
ATOMIC_POSITIONS crystal
Th 0.0000 0.0000 0.0000
Al 0.7419 0.2581 0.0001
Al 0.2581 0.5162 0.2581
Al 0.9999 0.2581 0.7419
Al 0.2581 0.0001 0.7419
Al 0.0001 0.7419 0.2581
Al 0.7419 0.4838 0.7419
Al 0.5162 0.2581 0.2581
Al 0.4838 0.7419 0.7419
Al 0.7419 0.9999 0.2581
Al 0.7419 0.7419 0.4838
Al 0.2581 0.2581 0.5162
Al 0.2581 0.7419 0.9999
Co 0.0000 0.5000 0.0000
Co 0.5000 0.0000 0.0000
Co 0.5000 0.5000 0.5000
Co 0.0000 0.0000 0.5000
CELL_PARAMETERS angstrom
-0.1481 -4.0716 -6.5999
-6.0616 -1.9982 4.4071
-0.3713 7.5747 -1.6263
```

Results
Its mass density is 3.66 Mg/m³. The value obtained for the formation energy is -0.12 eV/atom. For the total energy, the calculation gives -4.87 eV/atom.

=====

First-principles (PBE) data for an optimized crystal structure of ThAlCo, as listed in the Alexandria database. Values from VASP.

Structure (Quantum ESPRESSO input):
```
&SYSTEM
  ibrav = 0, nat = 9, ntyp = 3
/
ATOMIC_SPECIES
Th 232.04 Th.upf
Al 26.98 Al.upf
Co 58.93 Co.upf
ATOMIC_POSITIONS crystal
Th 0.3719 0.2709 0.0000
Th 0.7291 0.6281 0.0000
Th 0.0371 0.9629 0.5000
Al 0.2864 0.7136 0.0000
Al 0.6804 0.0365 0.0000
Al 0.9635 0.3196 0.0000
Co 0.4492 0.5508 0.5000
Co 0.4319 0.9496 0.5000
Co 0.0504 0.5681 0.5000
CELL_PARAMETERS angstrom
4.8643 -5.5202 0.0000
4.8643 5.5202 0.0000
0.0000 0.0000 3.4138
```

Results
Its mass density is 8.64 Mg/m³. The value obtained for the formation energy is -0.10 eV/atom. For the total energy, the calculation gives -6.19 eV/atom.